Material: Ac4TmCo3O12
Method: DFT, GGA+U
State: relaxed

The structure in CIF format:
```
data_Ac4TmCo3O12
_chemical_formula_sum 'Ac4 Tm1 Co3 O12'
_symmetry_space_group_name_H-M 'P 1'
_symmetry_Int_Tables_number 1
_cell_length_a 6.952
_cell_length_b 6.952
_cell_length_c 6.952
_cell_angle_alpha 109.47
_cell_angle_beta 109.47
_cell_angle_gamma 109.47
loop_
_symmetry_equiv_pos_as_xyz
'x,y,z'
loop_
_atom_site_label
_atom_site_type_symbol
_atom_site_fract_x
_atom_site_fract_y
_atom_site_fract_z
_atom_site_occupancy
Ac1 Ac 0.000 0.000 0.500 1
Ac2 Ac 0.000 0.500 0.000 1
Ac3 Ac 0.500 0.000 0.000 1
Ac4 Ac 0.500 0.500 0.500 1
Tm1 Tm 0.000 0.000 0.000 1
Co1 Co 0.000 0.500 0.500 1
Co2 Co 0.500 0.000 0.500 1
Co3 Co 0.500 0.500 0.000 1
O1 O 0.000 0.264 0.264 1
O2 O 0.000 0.736 0.736 1
O3 O 0.250 0.500 0.750 1
O4 O 0.250 0.750 0.500 1
O5 O 0.264 0.000 0.264 1
O6 O 0.264 0.264 0.000 1
O7 O 0.500 0.250 0.750 1
O8 O 0.500 0.750 0.250 1
O9 O 0.736 0.000 0.736 1
O10 O 0.736 0.736 0.000 1
O11 O 0.750 0.250 0.500 1
O12 O 0.750 0.500 0.250 1
```

Final energy   -7.25 eV/atom